# 1
BeFeAg2: PBEsol geometry, meta-GGA SCAN.

```
data_BeFeAg2
_chemical_formula_sum 'Be1 Fe1 Ag2'
_space_group_name_H-M_alt 'P 1'
_space_group_IT_number 1
_space_group_name_Hall 'P 1'
_cell_length_a 2.715
_cell_length_b 2.715
_cell_length_c 8.603
_cell_angle_alpha 80.92
_cell_angle_beta 80.92
_cell_angle_gamma 60.00
loop_
_atom_site_label
_atom_site_type_symbol
_atom_site_fract_x
_atom_site_fract_y
_atom_site_fract_z
Be1 Be 0.500 0.500 0.500
Fe1 Fe 0.000 0.000 0.000
Ag1 Ag 0.244 0.244 0.268
Ag2 Ag 0.756 0.756 0.732
```

total magnetization	3.0	Bohr magnetons per cell
ΔH_f (0 K)	0.295	eV/atom

***

# 2
LiTiSi3O8: PBEsol geometry, meta-GGA SCAN.

```
data_LiTiSi3O8
_chemical_formula_sum 'Li2 Ti2 Si6 O16'
_space_group_name_H-M_alt 'P 1'
_space_group_IT_number 1
_space_group_name_Hall 'P 1'
_cell_length_a 7.175
_cell_length_b 7.063
_cell_length_c 7.378
_cell_angle_alpha 120.76
_cell_angle_beta 105.17
_cell_angle_gamma 100.78
loop_
_atom_site_label
_atom_site_type_symbol
_atom_site_fract_x
_atom_site_fract_y
_atom_site_fract_z
Li1 Li 0.380 0.056 0.229
Li2 Li 0.620 0.944 0.771
Ti1 Ti 0.048 0.951 0.820
Ti2 Ti 0.952 0.049 0.180
Si1 Si 0.234 0.541 0.804
Si2 Si 0.802 0.125 0.518
Si3 Si 0.654 0.509 0.781
Si4 Si 0.346 0.491 0.219
Si5 Si 0.198 0.875 0.482
Si6 Si 0.766 0.459 0.196
O1 O 0.221 0.795 0.887
O2 O 0.636 0.265 0.546
O3 O 0.256 0.521 0.016
O4 O 0.844 0.050 0.694
O5 O 0.808 0.756 0.842
O6 O 0.021 0.319 0.571
O7 O 0.423 0.513 0.723
O8 O 0.723 0.916 0.248
O9 O 0.277 0.084 0.752
O10 O 0.577 0.487 0.277
O11 O 0.979 0.681 0.429
O12 O 0.192 0.244 0.158
O13 O 0.156 0.950 0.306
O14 O 0.744 0.479 0.984
O15 O 0.364 0.735 0.454
O16 O 0.779 0.205 0.113
```

total magnetization	0.0	Bohr magnetons per cell
E_form (uncorrected)	-2943	meV/atom

***

# 3
CsGe3C: PBEsol geometry, meta-GGA SCAN.

```
data_CsGe3C
_chemical_formula_sum 'Cs1 Ge3 C1'
_space_group_name_H-M_alt 'P 1'
_space_group_IT_number 1
_space_group_name_Hall 'P 1'
_cell_length_a 5.623
_cell_length_b 5.623
_cell_length_c 5.623
_cell_angle_alpha 90.00
_cell_angle_beta 90.00
_cell_angle_gamma 90.00
loop_
_atom_site_label
_atom_site_type_symbol
_atom_site_fract_x
_atom_site_fract_y
_atom_site_fract_z
Cs1 Cs 0.000 0.000 0.000
Ge1 Ge 0.000 0.500 0.000
Ge2 Ge 0.000 0.000 0.500
Ge3 Ge 0.500 0.000 0.000
C1 C 0.500 0.500 0.500
```

total magnetization	0.3	Bohr magnetons per cell
ΔH_f (0 K)	3.268	eV/atom
energy above the most stable polymorph in this dataset	1970	meV per atom

***

# 4
MgReW2I: PBEsol geometry, meta-GGA SCAN.

```
data_MgReW2I
_chemical_formula_sum 'Mg1 Re1 W2 I1'
_space_group_name_H-M_alt 'P 1'
_space_group_IT_number 1
_space_group_name_Hall 'P 1'
_cell_length_a 4.795
_cell_length_b 4.828
_cell_length_c 4.828
_cell_angle_alpha 90.00
_cell_angle_beta 90.00
_cell_angle_gamma 90.00
loop_
_atom_site_label
_atom_site_type_symbol
_atom_site_fract_x
_atom_site_fract_y
_atom_site_fract_z
I1 I 0.000 0.000 0.000
Re1 Re 0.500 0.000 0.000
Mg1 Mg 0.500 0.500 0.500
W1 W 0.000 0.000 0.500
W2 W 0.000 0.500 0.000
```

total magnetization	0.8	Bohr magnetons per cell
E_form (uncorrected)	2699	meV/atom